Entry 1:
{"formula": "FePbBr2", "functional": "PBE", "state": "relaxed", "lattice_angstrom": [[1.788, 1.032, 9.511], [-1.788, 1.032, 9.511], [0.000, -2.065, 9.511]], "species": ["Fe", "Pb", "Br", "Br"], "frac_coords": [[0.000, 0.000, 0.000], [0.500, 0.500, 0.500], [0.278, 0.278, 0.278], [0.722, 0.722, 0.722]], "magmom_total_mub_per_atom": 0.881, "raw_formation_energy_mev_per_atom": -181}

Entry 2:
{"formula": "FeCo4H4", "functional": "PBE", "state": "relaxed", "lattice_angstrom": [[-2.924, 2.924, 1.825], [2.924, -2.924, 1.825], [2.924, 2.924, -1.825]], "species": ["Fe", "Co", "Co", "Co", "Co", "H", "H", "H", "H"], "frac_coords": [[0.000, 0.000, 0.000], [0.205, 0.602, 0.807], [0.398, 0.205, 0.602], [0.602, 0.795, 0.398], [0.795, 0.398, 0.193], [0.105, 0.309, 0.414], [0.309, 0.895, 0.204], [0.691, 0.105, 0.796], [0.895, 0.691, 0.586]], "magmom_total_mub_per_atom": 0.820, "total_energy_ev_per_atom": -5.5914}

Entry 3:
{"formula": "LiMo3P", "functional": "PBE", "state": "relaxed", "lattice_angstrom": [[4.490, 0.000, 0.000], [0.000, 4.490, 0.000], [0.000, 0.000, 4.490]], "species": ["Li", "Mo", "Mo", "Mo", "P"], "frac_coords": [[0.000, 0.000, 0.000], [0.000, 0.500, 0.500], [0.500, 0.000, 0.500], [0.500, 0.500, 0.000], [0.500, 0.500, 0.500]], "magmom_total_mub_per_atom": 0.000, "e_form_ev_per_atom": 0.72}

Entry 4:
{"formula": "PrPuPb", "functional": "PBE", "state": "relaxed", "lattice_angstrom": [[5.851, 0.000, 0.000], [0.000, 3.489, 0.000], [0.000, 0.000, 8.731]], "species": ["Pr", "Pr", "Pu", "Pu", "Pb", "Pb"], "frac_coords": [[0.250, 0.000, 0.132], [0.750, 0.000, 0.868], [0.000, 0.000, 0.500], [0.500, 0.000, 0.500], [0.250, 0.500, 0.789], [0.750, 0.500, 0.211]], "magmom_total_mub_per_atom": 1.954, "e_form_ev_per_atom": -0.19}

Entry 5:
{"formula": "Sm6BiTe2As3", "functional": "PBE", "state": "relaxed", "lattice_angstrom": [[9.537, -2.157, 0.000], [9.537, 2.157, 0.000], [-2.219, 0.000, 8.491]], "species": ["Sm", "Sm", "Sm", "Sm", "Sm", "Sm", "Bi", "Te", "Te", "As", "As", "As"], "frac_coords": [[0.006, 0.006, 0.237], [0.328, 0.328, 0.432], [0.340, 0.340, 0.900], [0.660, 0.660, 0.100], [0.672, 0.672, 0.568], [0.994, 0.994, 0.763], [0.500, 0.500, 0.500], [0.168, 0.168, 0.835], [0.832, 0.832, 0.165], [0.167, 0.167, 0.333], [0.500, 0.500, 0.000], [0.833, 0.833, 0.667]], "magmom_total_mub_per_atom": 0.000, "raw_formation_energy_mev_per_atom": -1430}

Entry 6:
{"formula": "PrDy2Si", "functional": "PBE", "state": "relaxed", "lattice_angstrom": [[1.802, 1.040, 10.904], [-1.802, 1.040, 10.904], [0.000, -2.080, 10.904]], "species": ["Pr", "Dy", "Dy", "Si"], "frac_coords": [[0.000, 0.000, 0.000], [0.108, 0.108, 0.108], [0.892, 0.892, 0.892], [0.500, 0.500, 0.500]], "magmom_total_mub_per_atom": 0.000, "raw_formation_energy_mev_per_atom": -30}

Entry 7:
{"formula": "Cd6BPd12", "functional": "PBE", "state": "relaxed", "lattice_angstrom": [[5.204, 3.005, 3.517], [-5.204, 3.005, 3.517], [0.000, -6.009, 3.517]], "species": ["Cd", "Cd", "Cd", "Cd", "Cd", "Cd", "B", "Pd", "Pd", "Pd", "Pd", "Pd", "Pd", "Pd", "Pd", "Pd", "Pd", "Pd", "Pd"], "frac_coords": [[0.142, 0.742, 0.352], [0.258, 0.648, 0.858], [0.352, 0.142, 0.742], [0.648, 0.858, 0.258], [0.742, 0.352, 0.142], [0.858, 0.258, 0.648], [0.000, 0.000, 0.000], [0.002, 0.912, 0.696], [0.088, 0.304, 0.998], [0.209, 0.414, 0.512], [0.304, 0.998, 0.088], [0.414, 0.512, 0.209], [0.488, 0.791, 0.586], [0.512, 0.209, 0.414], [0.586, 0.488, 0.791], [0.696, 0.002, 0.912], [0.791, 0.586, 0.488], [0.912, 0.696, 0.002], [0.998, 0.088, 0.304]], "magmom_total_mub_per_atom": 0.000, "e_form_ev_per_atom": -0.19}

Entry 8:
{"formula": "CsSrTePb2", "functional": "PBE", "state": "relaxed", "lattice_angstrom": [[6.183, 0.000, 0.000], [0.000, 6.183, 0.000], [0.000, 0.000, 6.844]], "species": ["Cs", "Sr", "Te", "Pb", "Pb"], "frac_coords": [[0.000, 0.000, 0.000], [0.000, 0.000, 0.500], [0.500, 0.500, 0.000], [0.000, 0.500, 0.500], [0.500, 0.000, 0.500]], "magmom_total_mub_per_atom": 0.000, "raw_formation_energy_mev_per_atom": 457}

Entry 9:
{"formula": "TcHgPd3", "functional": "PBE", "state": "relaxed", "lattice_angstrom": [[4.812, 0.000, 0.000], [0.000, 4.812, 0.000], [0.000, 0.000, 4.812]], "species": ["Tc", "Hg", "Pd", "Pd", "Pd"], "frac_coords": [[0.000, 0.000, 0.000], [0.500, 0.500, 0.500], [0.000, 0.000, 0.500], [0.000, 0.500, 0.000], [0.500, 0.000, 0.000]], "magmom_total_mub_per_atom": 0.000, "e_form_ev_per_atom": 1.05}

Entry 10:
{"formula": "BeCd2SF", "functional": "PBE", "state": "relaxed", "lattice_angstrom": [[4.964, 0.000, 0.000], [0.000, 4.964, 0.000], [0.000, 0.000, 3.950]], "species": ["Be", "Cd", "Cd", "S", "F"], "frac_coords": [[0.000, 0.000, 0.000], [0.000, 0.500, 0.000], [0.500, 0.000, 0.000], [0.000, 0.000, 0.500], [0.500, 0.500, 0.500]], "magmom_total_mub_per_atom": 0.000, "raw_formation_energy_mev_per_atom": -304}

Entry 11:
{"formula": "SnPdIO2", "functional": "PBE", "state": "relaxed", "lattice_angstrom": [[4.297, 0.000, 0.000], [0.000, 4.297, 0.000], [0.000, 0.000, 5.217]], "species": ["Sn", "Pd", "I", "O", "O"], "frac_coords": [[0.000, 0.000, 0.000], [0.500, 0.500, 0.500], [0.500, 0.500, 0.000], [0.000, 0.500, 0.500], [0.500, 0.000, 0.500]], "magmom_total_mub_per_atom": 0.096, "raw_formation_energy_mev_per_atom": 148}

Entry 12:
{"formula": "ZrCrCd2", "functional": "PBE", "state": "relaxed", "lattice_angstrom": [[3.195, 0.000, 0.000], [0.000, 3.195, 0.000], [0.000, 0.000, 7.867]], "species": ["Zr", "Cr", "Cd", "Cd"], "frac_coords": [[0.000, 0.000, 0.000], [0.500, 0.500, 0.781], [0.000, 0.000, 0.554], [0.500, 0.500, 0.289]], "magmom_total_mub_per_atom": 0.693, "e_form_ev_per_atom": 0.12}

Entry 13:
{"formula": "Na3RuCl8", "functional": "PBE", "state": "relaxed", "lattice_angstrom": [[3.714, -5.788, 0.000], [3.714, 5.788, 0.000], [0.000, 0.000, 8.196]], "species": ["Na", "Na", "Na", "Ru", "Cl", "Cl", "Cl", "Cl", "Cl", "Cl", "Cl", "Cl"], "frac_coords": [[0.000, 0.000, 0.000], [0.000, 0.500, 0.764], [0.500, 0.000, 0.236], [0.000, 0.000, 0.500], [0.202, 0.798, 0.500], [0.221, 0.226, 0.701], [0.226, 0.221, 0.299], [0.232, 0.768, 0.000], [0.768, 0.232, 0.000], [0.774, 0.779, 0.299], [0.779, 0.774, 0.701], [0.798, 0.202, 0.500]], "magmom_total_mub_per_atom": 0.252, "raw_formation_energy_mev_per_atom": -1051}

Entry 14:
{"formula": "Rb3Cd2Se4", "functional": "PBE", "state": "relaxed", "lattice_angstrom": [[9.060, -2.298, 0.000], [9.060, 2.298, 0.000], [-3.271, 0.000, 7.373]], "species": ["Rb", "Rb", "Rb", "Cd", "Cd", "Se", "Se", "Se", "Se"], "frac_coords": [[0.000, 0.000, 0.000], [0.131, 0.131, 0.543], [0.869, 0.869, 0.457], [0.331, 0.331, 0.041], [0.669, 0.669, 0.959], [0.211, 0.211, 0.171], [0.480, 0.480, 0.298], [0.520, 0.520, 0.702], [0.789, 0.789, 0.829]], "magmom_total_mub_per_atom": 0.103, "raw_formation_energy_mev_per_atom": -850}

Entry 15:
{"formula": "Rb2Hg3Pd2", "functional": "PBE", "state": "relaxed", "lattice_angstrom": [[6.240, -2.353, 0.000], [6.240, 2.353, 0.000], [-4.476, 0.000, 7.002]], "species": ["Rb", "Rb", "Hg", "Hg", "Hg", "Pd", "Pd"], "frac_coords": [[0.144, 0.144, 0.270], [0.856, 0.856, 0.730], [0.346, 0.346, 0.062], [0.500, 0.500, 0.500], [0.654, 0.654, 0.938], [0.113, 0.113, 0.697], [0.887, 0.887, 0.303]], "magmom_total_mub_per_atom": 0.000, "e_form_ev_per_atom": -0.20}

Entry 16:
{"formula": "EuAl3Re", "functional": "PBE", "state": "relaxed", "lattice_angstrom": [[4.835, 0.000, 0.000], [0.000, 4.835, 0.000], [0.000, 0.000, 4.835]], "species": ["Eu", "Al", "Al", "Al", "Re"], "frac_coords": [[0.000, 0.000, 0.000], [0.000, 0.500, 0.500], [0.500, 0.000, 0.500], [0.500, 0.500, 0.000], [0.500, 0.500, 0.500]], "magmom_total_mub_per_atom": 1.426, "e_form_ev_per_atom": -0.22}

Entry 17:
{"formula": "LaNb3Al", "functional": "PBE", "state": "relaxed", "lattice_angstrom": [[4.925, 0.000, 0.000], [0.000, 4.925, 0.000], [0.000, 0.000, 4.925]], "species": ["La", "Nb", "Nb", "Nb", "Al"], "frac_coords": [[0.000, 0.000, 0.000], [0.000, 0.500, 0.500], [0.500, 0.000, 0.500], [0.500, 0.500, 0.000], [0.500, 0.500, 0.500]], "magmom_total_mub_per_atom": 0.000, "e_form_ev_per_atom": 0.91}

Entry 18:
{"formula": "SiTeRh2", "functional": "PBE", "state": "relaxed", "lattice_angstrom": [[4.452, 0.000, 0.000], [0.000, 4.452, 0.000], [0.000, 0.000, 3.261]], "species": ["Si", "Te", "Rh", "Rh"], "frac_coords": [[0.000, 0.000, 0.000], [0.500, 0.500, 0.000], [0.000, 0.500, 0.500], [0.500, 0.000, 0.500]], "magmom_total_mub_per_atom": 0.000, "raw_formation_energy_mev_per_atom": -57}

Entry 19:
{"formula": "CaTc3Pt", "functional": "PBE", "state": "relaxed", "lattice_angstrom": [[4.820, 0.000, 0.000], [0.000, 4.820, 0.000], [0.000, 0.000, 4.820]], "species": ["Ca", "Tc", "Tc", "Tc", "Pt"], "frac_coords": [[0.000, 0.000, 0.000], [0.000, 0.500, 0.500], [0.500, 0.000, 0.500], [0.500, 0.500, 0.000], [0.500, 0.500, 0.500]], "magmom_total_mub_per_atom": 0.281, "e_form_ev_per_atom": 1.43}

Entry 20:
{"formula": "Ho2TiIn", "functional": "PBE", "state": "relaxed", "lattice_angstrom": [[1.651, 0.953, 11.268], [-1.651, 0.953, 11.268], [0.000, -1.907, 11.268]], "species": ["Ho", "Ho", "Ti", "In"], "frac_coords": [[0.087, 0.087, 0.087], [0.913, 0.913, 0.913], [0.000, 0.000, 0.000], [0.500, 0.500, 0.500]], "magmom_total_mub_per_atom": 0.504, "e_form_ev_per_atom": 0.28}

Entry 21:
{"formula": "HfNbCr", "functional": "PBE", "state": "relaxed", "lattice_angstrom": [[4.836, -2.242, 0.000], [4.836, 2.242, 0.000], [-3.264, 0.000, 4.768]], "species": ["Hf", "Hf", "Nb", "Nb", "Cr", "Cr"], "frac_coords": [[0.000, 0.000, 0.000], [0.707, 0.707, 0.379], [0.351, 0.351, 0.185], [0.649, 0.649, 0.821], [0.037, 0.037, 0.527], [0.331, 0.331, 0.678]], "magmom_total_mub_per_atom": 0.000, "e_form_ev_per_atom": 0.14}

Entry 22:
{"formula": "K2B2S5", "functional": "PBE", "state": "relaxed", "lattice_angstrom": [[6.080, -2.320, 0.000], [6.080, 2.320, 0.000], [-0.376, 0.000, 8.475]], "species": ["K", "K", "B", "B", "S", "S", "S", "S", "S"], "frac_coords": [[0.096, 0.096, 0.323], [0.904, 0.904, 0.677], [0.382, 0.382, 0.137], [0.618, 0.618, 0.863], [0.243, 0.243, 0.030], [0.398, 0.398, 0.342], [0.500, 0.500, 0.000], [0.602, 0.602, 0.658], [0.757, 0.757, 0.970]], "magmom_total_mub_per_atom": 0.000, "raw_formation_energy_mev_per_atom": -511}

Entry 23:
{"formula": "ZrCd3C", "functional": "PBE", "state": "relaxed", "lattice_angstrom": [[4.635, 0.000, 0.000], [0.000, 4.635, 0.000], [0.000, 0.000, 4.635]], "species": ["Zr", "Cd", "Cd", "Cd", "C"], "frac_coords": [[0.000, 0.000, 0.000], [0.000, 0.500, 0.500], [0.500, 0.000, 0.500], [0.500, 0.500, 0.000], [0.500, 0.500, 0.500]], "magmom_total_mub_per_atom": 0.000, "e_form_ev_per_atom": 0.93}

Entry 24:
{"formula": "TaZn2Si", "functional": "PBE", "state": "relaxed", "lattice_angstrom": [[4.639, 0.000, 0.000], [0.000, 2.799, 0.000], [-1.749, 0.000, 4.747]], "species": ["Ta", "Zn", "Zn", "Si"], "frac_coords": [[0.000, 0.000, 0.000], [0.000, 0.500, 0.500], [0.500, 0.000, 0.500], [0.500, 0.500, 0.000]], "magmom_total_mub_per_atom": 0.000, "raw_formation_energy_mev_per_atom": -25}

Entry 25:
{"formula": "CsHfFeS3", "functional": "PBE", "state": "relaxed", "lattice_angstrom": [[9.169, 0.000, 0.000], [0.000, 3.719, 0.000], [-4.327, 0.000, 8.726]], "species": ["Cs", "Cs", "Hf", "Hf", "Fe", "Fe", "S", "S", "S", "S", "S", "S"], "frac_coords": [[0.229, 0.250, 0.255], [0.771, 0.750, 0.745], [0.318, 0.750, 0.839], [0.682, 0.250, 0.161], [0.069, 0.250, 0.597], [0.931, 0.750, 0.403], [0.134, 0.250, 0.855], [0.210, 0.750, 0.552], [0.475, 0.750, 0.140], [0.525, 0.250, 0.860], [0.790, 0.250, 0.448], [0.866, 0.750, 0.145]], "magmom_total_mub_per_atom": 0.499, "raw_formation_energy_mev_per_atom": -1218}

Entry 26:
{"formula": "DyPd4", "functional": "PBE", "state": "relaxed", "lattice_angstrom": [[4.057, -2.770, 0.000], [4.057, 2.770, 0.000], [-1.911, 0.000, 4.135]], "species": ["Dy", "Pd", "Pd", "Pd", "Pd"], "frac_coords": [[0.000, 0.000, 0.000], [0.000, 0.500, 0.500], [0.397, 0.397, 0.155], [0.500, 0.000, 0.500], [0.603, 0.603, 0.845]], "magmom_total_mub_per_atom": 0.000, "e_form_ev_per_atom": -0.48}